# HPdW2

An optimized crystal structure of HPdW2 (GGA-PBE, the Alexandria database).

Total DFT energy (no corrections) ... -65.6 eV per cell
D(E_F) ... 0.705 states/eV per atom
Space group ... No. 122
Polymorph energy (0 for the lowest one) ... 0.000 eV per atom

a b c (Å): 6.236 6.236 5.137
angles (deg): 52.63 52.63 90.00
Sites, in units of the cell vectors:
H 0.500 0.500 0.000
H 0.250 0.750 0.500
Pd 0.000 0.000 0.000
Pd 0.750 0.250 0.500
W 0.531 0.125 0.250
W 0.219 0.625 0.250
W 0.375 0.469 0.750
W 0.875 0.781 0.750

# NaAcTm

An optimized crystal structure of NaAcTm (GGA-PBE, the Alexandria database).

Total DFT energy (no corrections) ... -9.3 eV per cell
D(E_F) ... 1.429 states/eV per atom
Space group ... No. 107
Formation energy from the elements ... 0.19 eV/atom
Polymorph energy (0 for the lowest one) ... 0.019 eV per atom

a b c (Å): 3.728 3.728 8.562
angles (deg): 102.57 102.57 90.00
Site moments in Bohr magnetons follow the coordinates.
Sites, in units of the cell vectors:
Na 0.326 0.326 0.652  0.00
Ac 0.010 0.010 0.019  0.03
Tm 0.664 0.664 0.328  0.11

# RbNbIn2N

An optimized crystal structure of RbNbIn2N (GGA-PBE, the Alexandria database).

Total DFT energy (no corrections) ... -22.4 eV per cell
D(E_F) ... 0.828 states/eV per atom
Space group ... No. 123
Formation energy from raw total energies ... 0.497 eV/atom

a b c (Å): 5.871 5.871 4.027
angles (deg): 90.00 90.00 90.00
Site moments in Bohr magnetons follow the coordinates.
Sites, in units of the cell vectors:
Nb 0.000 0.000 0.500  1.19
N 0.000 0.000 0.000  -0.09
Rb 0.500 0.500 0.500  -0.01
In 0.000 0.500 0.000  -0.03
In 0.500 0.000 0.000  -0.03

# NiW2Au

An optimized crystal structure of NiW2Au (GGA-PBE, the Alexandria database).

Total DFT energy (no corrections) ... -33.6 eV per cell
D(E_F) ... 0.960 states/eV per atom
Space group ... No. 65
Formation energy from the elements ... 0.34 eV/atom
Polymorph energy (0 for the lowest one) ... 0.170 eV per atom

a b c (Å): 6.006 4.977 2.709
angles (deg): 90.01 63.16 118.72
Sites, in units of the cell vectors:
Au 0.000 0.500 0.500
Ni 0.500 0.500 0.000
W 0.000 0.000 0.000
W 0.500 0.000 0.500

# Th2PaSi

An optimized crystal structure of Th2PaSi (GGA-PBE, the Alexandria database).

Total DFT energy (no corrections) ... -30.3 eV per cell
D(E_F) ... 1.716 states/eV per atom
Space group ... No. 123
Formation energy from raw total energies ... -0.129 eV/atom
Polymorph energy (0 for the lowest one) ... 0.000 eV per atom

a b c (Å): 4.528 4.744 4.744
angles (deg): 90.00 90.00 90.00
Sites, in units of the cell vectors:
Si 0.500 0.000 0.000
Pa 0.500 0.500 0.500
Th 0.000 0.000 0.500
Th 0.000 0.500 0.000